## SrBe2Ru (PBE)

Data for a relaxed structure of SrBe2Ru.

Calculated values
- electronic total energy (eV per atom) = -4.084
- distance to the lowest polymorph of the same formula (eV/atom) = 0.5782
- V (Å³ per cell) = 158

a b c (Å): 3.9012 5.6178 7.1914
angles (deg): 90.00 90.00 90.00
With the nearest neighbours (Å) after each atom.
Space group Imm2 (No. 44)
Asymmetric unit:
Sr: 0.0000 0.0000 0.0000  4 Ru 3.00-3.21, 4 Be 3.00-3.20
Be: 0.0000 0.0000 0.5001  2 Ru 2.21, 2 Be 2.22
Be: 0.0000 0.5000 0.1465  1 Ru 2.09, 2 Be 2.22
Ru: 0.0000 0.5000 0.8553  3 Be 2.09-2.21

---

## Ba2Cd3InSn4 (PBE)

Data for a relaxed structure of Ba2Cd3InSn4.

Calculated values
- electronic total energy (eV per atom) = -2.927
- V (Å³ per cell) = 306

a b c (Å): 5.0375 5.0375 12.0737
angles (deg): 90.00 90.00 90.00
With the nearest neighbours (Å) after each atom.
Space group P-4m2 (No. 115)
Asymmetric unit:
Ba: 0.0000 0.5000 0.2484  6 Cd 3.83-3.95, 8 Sn 3.83-3.92, 2 In 3.95
Cd: 0.0000 0.5000 0.8682  5 Sn 2.83-2.98
Cd: 0.5000 0.5000 0.5000  4 Sn 2.99
In: 0.0000 0.0000 0.5000  4 Sn 2.99
Sn: 0.0000 0.0000 0.0000  4 Cd 2.98
Sn: 0.0000 0.5000 0.6340  3 Cd 2.83-2.99, 2 In 2.99
Sn: 0.5000 0.5000 0.0000  4 Cd 2.98

---

## PrHgPdAu (PBE)

Data for a relaxed structure of PrHgPdAu.

Calculated values
- electronic total energy (eV per atom) = -3.953
- V (Å³ per cell) = 356

a b c (Å): 7.0844 7.0844 7.0844
angles (deg): 90.00 90.00 90.00
With the nearest neighbours (Å) after each atom.
Space group F-43m (No. 216)
Asymmetric unit:
Pr: 0.0000 0.0000 0.0000  4 Pd 3.07, 4 Au 3.07
Hg: 0.0000 0.0000 0.5000  4 Pd 3.07, 4 Au 3.07
Pd: 0.2500 0.2500 0.2500  4 Hg 3.07, 4 Pr 3.07
Au: 0.2500 0.2500 0.7500  4 Hg 3.07, 4 Pr 3.07

---

Number 1: energy relative to the elements 0.52 eV/atom. Number 2: energy relative to the elements -0.39 eV/atom. Number 3: energy relative to the elements -0.57 eV/atom.